Record 1
Here is a relaxed TaNbAu3 crystal from the Alexandria database. Energies are from PBEsol.

a b c (Å): 4.941 4.941 4.941
angles (deg): 90.00 90.00 90.00
Sites, in units of the cell vectors:
1 Ta 0.000 0.000 0.000
2 Au 0.000 0.000 0.500
3 Au 0.000 0.500 0.000
4 Au 0.500 0.000 0.000
5 Nb 0.500 0.500 0.500

Density   11.9 Mg/m³
Formation energy   1.46 eV/atom
Calculated volume   120.7 Å³ per cell
Symmetry   Pm-3m (221)

Record 2
Here is a relaxed NbTe2Au crystal from the Alexandria database. Energies are from PBEsol.

a b c (Å): 3.551 3.551 9.304
angles (deg): 79.00 79.00 60.00
Sites, in units of the cell vectors:
1 Te 0.903 0.903 0.290
2 Te 0.097 0.097 0.710
3 Nb 0.000 0.000 0.000
4 Au 0.500 0.500 0.500

Formation energy without anion corrections   639 meV per atom
Density   9.1 Mg/m³
Calculated volume   99.1 Å³ per cell
Symmetry   R-3m (166)

Record 3
Here is a relaxed Ti2NbAu crystal from the Alexandria database. Energies are from PBEsol.

a b c (Å): 4.500 4.500 4.500
angles (deg): 60.00 60.00 60.00
Sites, in units of the cell vectors:
1 Au 0.500 0.500 0.500
2 Nb 0.000 0.000 0.000
3 Ti 0.750 0.750 0.750
4 Ti 0.250 0.250 0.250

Density   9.9 Mg/m³
Formation energy   -0.26 eV/atom
Calculated volume   64.4 Å³ per cell
Symmetry   Fm-3m (225)

Record 4
Here is a relaxed TiNb3Au crystal from the Alexandria database. Energies are from PBEsol.

a b c (Å): 4.889 4.889 4.889
angles (deg): 90.00 90.00 90.00
Sites, in units of the cell vectors:
1 Nb 0.000 0.500 0.000
2 Nb 0.000 0.000 0.500
3 Au 0.000 0.000 0.000
4 Nb 0.500 0.000 0.000
5 Ti 0.500 0.500 0.500

ΔE to the lowest computed polymorph   482 meV/atom
Density   7.4 Mg/m³
Formation energy   1.63 eV/atom
Calculated volume   116.9 Å³ per cell
Symmetry   Pm-3m (221)

Record 5
Here is a relaxed TiNb3Au crystal from the Alexandria database. Energies are from PBEsol.

a b c (Å): 4.589 4.589 4.589
angles (deg): 90.00 90.00 90.00
Sites, in units of the cell vectors:
1 Nb 0.500 0.000 0.000
2 Nb 0.000 0.500 0.000
3 Au 0.500 0.500 0.500
4 Nb 0.000 0.000 0.500
5 Ti 0.000 0.000 0.000

ΔE to the lowest computed polymorph   0 meV/atom
Density   9.0 Mg/m³
Formation energy   1.15 eV/atom
Calculated volume   96.6 Å³ per cell
Symmetry   Pm-3m (221)

Record 6
Here is a relaxed NbTl3Au crystal from the Alexandria database. Energies are from PBEsol.

a b c (Å): 5.320 5.320 5.320
angles (deg): 90.00 90.00 90.00
Sites, in units of the cell vectors:
1 Tl 0.500 0.000 0.000
2 Tl 0.000 0.000 0.500
3 Au 0.000 0.000 0.000
4 Nb 0.500 0.500 0.500
5 Tl 0.000 0.500 0.000

Density   10.0 Mg/m³
Formation energy   1.11 eV/atom
Calculated volume   150.6 Å³ per cell
Symmetry   Pm-3m (221)

Record 7
Here is a relaxed ZrNbTl2Au crystal from the Alexandria database. Energies are from PBEsol.

a b c (Å): 4.984 5.203 5.203
angles (deg): 90.00 90.00 90.00
Sites, in units of the cell vectors:
1 Tl 0.000 0.500 0.000
2 Au 0.500 0.000 0.000
3 Tl 0.000 0.000 0.500
4 Zr 0.500 0.500 0.500
5 Nb 0.000 0.000 0.000

Density   9.7 Mg/m³
Formation energy   1.02 eV/atom
Calculated volume   134.9 Å³ per cell
Symmetry   P4/mmm (123)

Record 8
Here is a relaxed NbV2Au crystal from the Alexandria database. Energies are from PBEsol.

a b c (Å): 4.393 4.393 4.393
angles (deg): 60.00 60.00 60.00
Sites, in units of the cell vectors:
1 V 0.750 0.750 0.750
2 Nb 0.000 0.000 0.000
3 Au 0.500 0.500 0.500
4 V 0.250 0.250 0.250

Density   10.8 Mg/m³
Formation energy   0.05 eV/atom
Calculated volume   60.0 Å³ per cell
Symmetry   Fm-3m (225)

Record 9
Here is a relaxed Nb3WAu crystal from the Alexandria database. Energies are from PBEsol.

a b c (Å): 4.791 4.791 4.791
angles (deg): 90.00 90.00 90.00
Sites, in units of the cell vectors:
1 Nb 0.000 0.000 0.500
2 W 0.000 0.000 0.000
3 Nb 0.000 0.500 0.000
4 Nb 0.500 0.000 0.000
5 Au 0.500 0.500 0.500

Density   10.0 Mg/m³
Formation energy   1.42 eV/atom
Calculated volume   110.0 Å³ per cell
Symmetry   Pm-3m (221)

Record 10
Here is a relaxed NbWAu2 crystal from the Alexandria database. Energies are from PBEsol.

a b c (Å): 4.570 4.570 4.570
angles (deg): 60.00 60.00 60.00
Sites, in units of the cell vectors:
1 Au 0.250 0.250 0.250
2 Au 0.750 0.750 0.750
3 Nb 0.000 0.000 0.000
4 W 0.500 0.500 0.500

Density   16.5 Mg/m³
Formation energy   0.45 eV/atom
Calculated volume   67.5 Å³ per cell
Symmetry   Fm-3m (225)

Record 11
Here is a relaxed ZrNb2WAu crystal from the Alexandria database. Energies are from PBEsol.

a b c (Å): 4.823 4.879 4.879
angles (deg): 90.00 90.00 90.00
Sites, in units of the cell vectors:
1 W 0.500 0.000 0.000
2 Nb 0.000 0.500 0.000
3 Nb 0.000 0.000 0.500
4 Au 0.000 0.000 0.000
5 Zr 0.500 0.500 0.500

Density   9.5 Mg/m³
Formation energy   1.71 eV/atom
Calculated volume   114.8 Å³ per cell
Symmetry   P4/mmm (123)

Record 12
Here is a relaxed NbZn3Au crystal from the Alexandria database. Energies are from PBEsol.

a b c (Å): 4.893 4.893 4.893
angles (deg): 90.00 90.00 90.00
Sites, in units of the cell vectors:
1 Zn 0.000 0.500 0.000
2 Au 0.500 0.500 0.500
3 Zn 0.500 0.000 0.000
4 Zn 0.000 0.000 0.500
5 Nb 0.000 0.000 0.000

Density   6.9 Mg/m³
Formation energy   1.36 eV/atom
Calculated volume   117.2 Å³ per cell
Symmetry   Pm-3m (221)